No. 1
Computed, not measured: a crystal of MoIrBr3 relaxed with PBEsol at the meta-GGA SCAN level of DFT.

The space group is Pm-3m (No. 221) and the conventional cell measures 4.992, 4.992 and 4.992 Å, with angles of 90.00, 90.00 and 90.00 degrees. The asymmetric unit holds Mo at (0.000, 0.000, 0.000), Ir at (0.500, 0.500, 0.500) and Br at (0.000, 0.500, 0.500).

As for the uncorrected formation energy: 0.8486 eV/atom.

***

No. 2
Computed, not measured: a crystal of MoIrBr2 relaxed with PBEsol at the meta-GGA SCAN level of DFT.

The space group is P2/m (No. 10) and the conventional cell measures 3.040, 4.393 and 5.234 Å, with angles of 90.00, 94.02 and 90.00 degrees. The asymmetric unit holds Mo at (0.000, 0.000, 0.000), Ir at (0.500, 0.000, 0.500) and Br at (0.225, 0.500, 0.248).

As for the energy above the most stable polymorph in this dataset: 0.639 eV/atom. As for the uncorrected formation energy: 1.1493 eV/atom.

***

No. 3
Computed, not measured: a crystal of MoIrBr2 relaxed with PBEsol at the meta-GGA SCAN level of DFT.

The space group is R-3m (No. 166, hexagonal axes) and the conventional cell measures 3.0414, 3.0414 and 25.2269 Å, with angles of 90.00, 90.00 and 120.00 degrees. The asymmetric unit holds Mo at (0.0000, 0.0000, 0.0000), Ir at (0.0000, 0.0000, 0.5000) and Br at (0.0000, 0.0000, 0.2574).

As for the energy above the most stable polymorph in this dataset: 0.440 eV/atom. As for the uncorrected formation energy: 0.9503 eV/atom.

***

No. 4
Computed, not measured: a crystal of MoIrBr2 relaxed with PBEsol at the meta-GGA SCAN level of DFT.

The space group is F-43m (No. 216) and the conventional cell measures 6.544, 6.544 and 6.544 Å, with angles of 90.00, 90.00 and 90.00 degrees. The asymmetric unit holds Mo at (0.000, 0.000, 0.000), Ir at (0.250, 0.250, 0.750), Br at (0.000, 0.000, 0.500) and Br at (0.250, 0.250, 0.250).

As for the energy above the most stable polymorph in this dataset: 0.628 eV/atom. As for the uncorrected formation energy: 1.1391 eV/atom.